The following is a DFT calculation (PBE) of Rb2NbRe after structural relaxation.

Calculated values
N(E_F): 5.0 states/eV per cell
formation energy from the elements: 2.96 eV/atom
space group: Fm-3m
crystal system: cubic
VASP energy: -3.155 eV/atom
polymorph energy (0 for the lowest one): 1162.6 meV/atom

Unit cell a=5.3218 b=5.3218 c=5.3218 alpha=60.00 beta=60.00 gamma=60.00
Fractional positions:
Re  0.5000  0.5000  0.5000
Nb  0.0000  0.0000  0.0000
Rb  0.2500  0.2500  0.2500
Rb  0.7500  0.7500  0.7500